Ge2AsH4 | GGA-PBE | optimized geometry

## Properties
**Magnetization**: 0.00 μB/atom
**Energy**: -49.5 eV for the cell shown
**Crystal system**: tetragonal

Lattice parameters (Å, degrees): 3.6576 3.6576 15.2473 90.00 90.00 90.00
Space group I4/mmm (No. 139)
Unique sites:
1 Ge 0.0000 0.0000 0.2336 [4 per cell]
2 As 0.0000 0.0000 0.0000 [2 per cell]
3 H 0.0000 0.0000 0.1186 [4 per cell]
4 H 0.0000 0.5000 0.0000 [4 per cell]

***

GeAs2H | GGA-PBE | optimized geometry

## Properties
**Magnetization**: 0.00 μB/atom
**Energy**: -58.9 eV for the cell shown
**Crystal system**: cubic
**Energy relative to the lowest polymorph listed for this composition**: 0.519 eV/atom

Lattice parameters (Å, degrees): 6.3219 6.3219 6.3219 90.00 90.00 90.00
Space group Fm-3m (No. 225)
Unique sites:
1 Ge 0.0000 0.0000 0.0000 [4 per cell]
2 As 0.2500 0.2500 0.2500 [8 per cell]
3 H 0.0000 0.0000 0.5000 [4 per cell]

***

Ge2AsH | GGA-PBE | optimized geometry

## Properties
**Magnetization**: 0.00 μB/atom
**Energy**: -65.4 eV for the cell shown
**Crystal system**: orthorhombic
**Energy relative to the lowest polymorph listed for this composition**: 0.000 eV/atom

Lattice parameters (Å, degrees): 4.1583 14.3427 5.4567 90.00 90.00 90.00
Space group Ama2 (No. 40)
Unique sites:
1 Ge 0.2500 0.0890 0.0000 [4 per cell]
2 Ge 0.2500 0.3460 0.1639 [4 per cell]
3 As 0.2500 0.1890 0.3825 [4 per cell]
4 H 0.0000 0.0000 0.1103 [4 per cell]

***

Ge2AsH | GGA-PBE | optimized geometry

## Properties
**Magnetization**: 0.00 μB/atom
**Energy**: -63.0 eV for the cell shown
**Crystal system**: tetragonal
**Energy relative to the lowest polymorph listed for this composition**: 0.150 eV/atom

Lattice parameters (Å, degrees): 4.9578 4.9578 12.0837 90.00 90.00 90.00
Space group I-42d (No. 122)
Unique sites:
1 Ge 0.1443 0.2500 0.1250 [8 per cell]
2 As 0.0000 0.0000 0.5000 [4 per cell]
3 H 0.0000 0.0000 0.0000 [4 per cell]

***

Which value of energy does entry 3 give? -65.4 eV for the cell shown